a:
The following is a GGA-PBE calculation of PrDy9Er2 after structural relaxation, from Alexandria via LeMat-Bulk.

## Properties
The calculation puts the density of states at the Fermi level at 17.7 states/eV/f.u.

abc: 5.020 5.020 15.066
angles: 90.00 90.00 90.00
Space group P4/mmm (No. 123)
Inequivalent atoms, fractional coordinates:
Pr 0.000 0.000 0.000 [1 per cell]
Dy 0.000 0.500 0.170 [4 per cell]
Dy 0.000 0.500 0.500 [2 per cell]
Dy 0.500 0.500 0.000 [1 per cell]
Dy 0.500 0.500 0.336 [2 per cell]
Er 0.000 0.000 0.335 [2 per cell]

=====

b:
The following is a GGA-PBE calculation of PrDy9Er2 after structural relaxation, from Alexandria via LeMat-Bulk.

## Properties
The calculation puts the density of states at the Fermi level at 15.5 states/eV/f.u.

abc: 11.2217 11.2217 3.5100
angles: 90.00 90.00 120.00
Space group P6/mmm (No. 191)
Inequivalent atoms, fractional coordinates:
Pr 0.0000 0.0000 0.0000 [1 per cell]
Dy 0.0000 0.5000 0.0000 [3 per cell]
Dy 0.1787 0.3573 0.5000 [6 per cell]
Er 0.3333 0.6667 0.0000 [2 per cell]

=====

Quick one: most stable of them? a

=====

a:
The following is a GGA-PBE calculation of Pr2Dy2Er3 after structural relaxation, from Alexandria via LeMat-Bulk.

## Properties
The calculation puts the density of states at the Fermi level at 9.5 states/eV/f.u.

abc: 9.749 9.749 9.749
angles: 90.00 90.00 90.00
Space group I2_13 (No. 199)
Inequivalent atoms, fractional coordinates:
Pr 0.093 0.407 0.593 [8 per cell]
Dy 0.208 0.208 0.208 [8 per cell]
Er 0.000 0.250 0.946 [12 per cell]

=====

b:
The following is a GGA-PBE calculation of Pr2Dy2Er3 after structural relaxation, from Alexandria via LeMat-Bulk.

## Properties
The calculation puts the density of states at the Fermi level at 9.5 states/eV/f.u.

abc: 11.273 5.058 8.017
angles: 90.00 98.22 90.00
Space group C2/m (No. 12)
Inequivalent atoms, fractional coordinates:
Pr 0.072 0.000 0.216 [4 per cell]
Dy 0.214 0.000 0.644 [4 per cell]
Er 0.000 0.500 0.500 [2 per cell]
Er 0.144 0.500 0.928 [4 per cell]

=====

Quick one: most stable of them? b

=====

a:
The following is a GGA-PBE calculation of Pr2Dy3Er7 after structural relaxation, from Alexandria via LeMat-Bulk.

## Properties
The calculation puts the density of states at the Fermi level at 17.6 states/eV/f.u.

abc: 6.313 3.507 17.403
angles: 90.00 96.19 90.00
Space group P2/m (No. 10)
Inequivalent atoms, fractional coordinates:
Pr 0.059 0.000 0.174 [2 per cell]
Dy 0.452 0.500 0.842 [2 per cell]
Dy 0.500 0.000 0.500 [1 per cell]
Er 0.000 0.500 0.500 [1 per cell]
Er 0.228 0.000 0.665 [2 per cell]
Er 0.256 0.000 0.999 [2 per cell]
Er 0.275 0.500 0.338 [2 per cell]

=====

b:
The following is a GGA-PBE calculation of Pr2Dy3Er7 after structural relaxation, from Alexandria via LeMat-Bulk.

## Properties
The calculation puts the density of states at the Fermi level at 17.6 states/eV/f.u.

abc: 5.659 37.735 3.603
angles: 90.00 90.00 90.00
Space group Cmmm (No. 65)
Inequivalent atoms, fractional coordinates:
Pr 0.000 0.147 0.000 [4 per cell]
Dy 0.000 0.314 0.500 [4 per cell]
Dy 0.000 0.500 0.500 [2 per cell]
Er 0.000 0.000 0.000 [2 per cell]
Er 0.000 0.070 0.500 [4 per cell]
Er 0.000 0.230 0.000 [4 per cell]
Er 0.000 0.412 0.000 [4 per cell]

=====

Quick one: most stable of them? a

=====

a:
The following is a GGA-PBE calculation of PrDyEr3 after structural relaxation, from Alexandria via LeMat-Bulk.

## Properties
The calculation puts the density of states at the Fermi level at 7.9 states/eV/f.u.

abc: 6.281 5.655 9.588
angles: 90.00 109.03 90.00
Space group P2_1/m (No. 11)
Inequivalent atoms, fractional coordinates:
Pr 0.068 0.250 0.300 [2 per cell]
Dy 0.466 0.250 0.099 [2 per cell]
Er 0.135 0.750 0.098 [2 per cell]
Er 0.268 0.250 0.702 [2 per cell]
Er 0.337 0.750 0.501 [2 per cell]

=====

b:
The following is a GGA-PBE calculation of PrDyEr3 after structural relaxation, from Alexandria via LeMat-Bulk.

## Properties
The calculation puts the density of states at the Fermi level at 8.2 states/eV/f.u.

abc: 3.623 16.638 11.557
angles: 90.00 90.00 90.00
Space group Cmcm (No. 63)
Inequivalent atoms, fractional coordinates:
Pr 0.000 0.190 0.250 [4 per cell]
Dy 0.000 0.483 0.750 [4 per cell]
Er 0.000 0.146 0.750 [4 per cell]
Er 0.000 0.346 0.003 [8 per cell]

=====

Quick one: most stable of them? a

=====

a:
The following is a GGA-PBE calculation of PrDy5Er2 after structural relaxation, from Alexandria via LeMat-Bulk.

## Properties
The calculation puts the density of states at the Fermi level at 10.0 states/eV/f.u.

abc: 7.115 14.233 5.013
angles: 90.00 90.00 90.00
Space group Pbam (No. 55)
Inequivalent atoms, fractional coordinates:
Pr 0.000 0.000 0.000 [2 per cell]
Dy 0.000 0.500 0.000 [2 per cell]
Dy 0.002 0.251 0.000 [4 per cell]
Dy 0.248 0.626 0.500 [4 per cell]
Er 0.250 0.374 0.500 [4 per cell]

=====

b:
The following is a GGA-PBE calculation of PrDy5Er2 after structural relaxation, from Alexandria via LeMat-Bulk.

## Properties
The calculation puts the density of states at the Fermi level at 12.2 states/eV/f.u.

abc: 5.540 15.823 6.541
angles: 90.00 114.91 90.00
Space group P2_1/m (No. 11)
Inequivalent atoms, fractional coordinates:
Pr 0.229 0.250 0.457 [2 per cell]
Dy 0.045 0.750 0.091 [2 per cell]
Dy 0.119 0.050 0.235 [4 per cell]
Dy 0.420 0.090 0.840 [4 per cell]
Er 0.280 0.627 0.562 [4 per cell]

=====

Quick one: most stable of them? a

=====

a:
The following is a GGA-PBE calculation of PrDy4Er4 after structural relaxation, from Alexandria via LeMat-Bulk.

## Properties
The calculation puts the density of states at the Fermi level at 12.5 states/eV/f.u.

abc: 6.184 8.817 10.712
angles: 78.40 89.94 83.21
Space group P-1 (No. 2)
Inequivalent atoms, fractional coordinates:
Pr 0.250 0.000 0.250 [2 per cell]
Dy 0.138 0.665 0.139 [2 per cell]
Dy 0.138 0.665 0.474 [2 per cell]
Dy 0.141 0.665 0.806 [2 per cell]
Dy 0.362 0.335 0.026 [2 per cell]
Er 0.249 0.000 0.916 [2 per cell]
Er 0.251 0.000 0.583 [2 per cell]
Er 0.360 0.335 0.693 [2 per cell]
Er 0.363 0.335 0.362 [2 per cell]

=====

b:
The following is a GGA-PBE calculation of PrDy4Er4 after structural relaxation, from Alexandria via LeMat-Bulk.

## Properties
The calculation puts the density of states at the Fermi level at 12.9 states/eV/f.u.

abc: 10.646 10.646 4.998
angles: 90.00 90.00 90.00
Space group I4/mmm (No. 139)
Inequivalent atoms, fractional coordinates:
Pr 0.000 0.000 0.000 [2 per cell]
Dy 0.000 0.334 0.000 [8 per cell]
Er 0.168 0.168 0.500 [8 per cell]

=====

Quick one: most stable of them? a

=====

a:
The following is a GGA-PBE calculation of PrDyErSc after structural relaxation, from Alexandria via LeMat-Bulk.

## Properties
The calculation puts the density of states at the Fermi level at 6.0 states/eV/f.u.

abc: 7.890 7.890 7.890
angles: 90.00 90.00 90.00
Space group F-43m (No. 216)
Inequivalent atoms, fractional coordinates:
Pr 0.000 0.000 0.000 [4 per cell]
Dy 0.000 0.000 0.500 [4 per cell]
Er 0.250 0.250 0.750 [4 per cell]
Sc 0.250 0.250 0.250 [4 per cell]

=====

b:
The following is a GGA-PBE calculation of PrDyErSc after structural relaxation, from Alexandria via LeMat-Bulk.

## Properties
The calculation puts the density of states at the Fermi level at 5.9 states/eV/f.u.

abc: 3.5255 3.5255 34.0873
angles: 90.00 90.00 120.00
Space group R3m (No. 160, hexagonal axes)
Inequivalent atoms, fractional coordinates:
Pr 0.0000 0.0000 0.0000 [3 per cell]
Dy 0.0000 0.0000 0.7558 [3 per cell]
Er 0.0000 0.0000 0.1724 [3 per cell]
Sc 0.0000 0.0000 0.5844 [3 per cell]

=====

Quick one: most stable of them? b

=====

a:
The following is a GGA-PBE calculation of PrSmDyEr after structural relaxation, from Alexandria via LeMat-Bulk.

## Properties
The calculation puts the density of states at the Fermi level at 7.6 states/eV/f.u.

abc: 8.099 8.099 8.099
angles: 90.00 90.00 90.00
Space group F-43m (No. 216)
Inequivalent atoms, fractional coordinates:
Pr 0.000 0.000 0.000 [4 per cell]
Sm 0.000 0.000 0.500 [4 per cell]
Dy 0.250 0.250 0.750 [4 per cell]
Er 0.250 0.250 0.250 [4 per cell]

=====

b:
The following is a GGA-PBE calculation of PrSmDyEr after structural relaxation, from Alexandria via LeMat-Bulk.

## Properties
The calculation puts the density of states at the Fermi level at 5.6 states/eV/f.u.

abc: 5.097 5.097 10.146
angles: 90.00 90.00 90.00
Space group I-4m2 (No. 119)
Inequivalent atoms, fractional coordinates:
Pr 0.000 0.000 0.000 [2 per cell]
Sm 0.000 0.500 0.750 [2 per cell]
Dy 0.000 0.500 0.250 [2 per cell]
Er 0.000 0.000 0.500 [2 per cell]

=====

Quick one: most stable of them? b

=====

a:
The following is a GGA-PBE calculation of PrDyErTl after structural relaxation, from Alexandria via LeMat-Bulk.

## Properties
The calculation puts the density of states at the Fermi level at 5.9 states/eV/f.u.

abc: 4.840 4.910 4.954
angles: 90.00 90.00 90.00
Space group Pmmm (No. 47)
Inequivalent atoms, fractional coordinates:
Pr 0.000 0.000 0.000 [1 per cell]
Dy 0.500 0.500 0.000 [1 per cell]
Er 0.500 0.000 0.500 [1 per cell]
Tl 0.000 0.500 0.500 [1 per cell]

=====

b:
The following is a GGA-PBE calculation of PrDyErTl after structural relaxation, from Alexandria via LeMat-Bulk.

## Properties
The calculation puts the density of states at the Fermi level at 5.8 states/eV/f.u.

abc: 7.822 7.822 7.822
angles: 90.00 90.00 90.00
Space group F-43m (No. 216)
Inequivalent atoms, fractional coordinates:
Pr 0.000 0.000 0.000 [4 per cell]
Dy 0.000 0.000 0.500 [4 per cell]
Er 0.250 0.250 0.750 [4 per cell]
Tl 0.250 0.250 0.250 [4 per cell]

=====

Quick one: most stable of them? a

=====

a:
The following is a GGA-PBE calculation of PrDyErTm after structural relaxation, from Alexandria via LeMat-Bulk.

## Properties
The calculation puts the density of states at the Fermi level at 6.5 states/eV/f.u.

abc: 8.031 8.031 8.031
angles: 90.00 90.00 90.00
Space group F-43m (No. 216)
Inequivalent atoms, fractional coordinates:
Pr 0.000 0.000 0.000 [4 per cell]
Dy 0.000 0.000 0.500 [4 per cell]
Er 0.250 0.250 0.750 [4 per cell]
Tm 0.250 0.250 0.250 [4 per cell]

=====

b:
The following is a GGA-PBE calculation of PrDyErTm after structural relaxation, from Alexandria via LeMat-Bulk.

## Properties
The calculation puts the density of states at the Fermi level at 7.9 states/eV/f.u.

abc: 3.435 5.614 6.723
angles: 90.00 90.00 90.00
Space group Pmm2 (No. 25)
Inequivalent atoms, fractional coordinates:
Pr 0.000 0.000 0.000 [1 per cell]
Dy 0.000 0.500 0.257 [1 per cell]
Er 0.000 0.000 0.517 [1 per cell]
Tm 0.500 0.500 0.748 [1 per cell]

=====

Quick one: most stable of them? a

=====

a:
The following is a GGA-PBE calculation of Dy2ErPt3 after structural relaxation, from Alexandria via LeMat-Bulk.

## Properties
The calculation puts the density of states at the Fermi level at 3.2 states/eV/f.u.

abc: 4.949 14.858 3.448
angles: 90.00 90.00 90.00
Space group Cmmm (No. 65)
Inequivalent atoms, fractional coordinates:
Dy 0.000 0.167 0.000 [4 per cell]
Er 0.000 0.500 0.000 [2 per cell]
Pt 0.000 0.000 0.500 [2 per cell]
Pt 0.000 0.336 0.500 [4 per cell]

=====

b:
The following is a GGA-PBE calculation of Dy2ErPt3 after structural relaxation, from Alexandria via LeMat-Bulk.

## Properties
The calculation puts the density of states at the Fermi level at 5.0 states/eV/f.u.

abc: 4.065 5.737 12.144
angles: 90.00 90.00 90.00
Space group Immm (No. 71)
Inequivalent atoms, fractional coordinates:
Dy 0.000 0.000 0.167 [4 per cell]
Er 0.000 0.000 0.500 [2 per cell]
Pt 0.000 0.500 0.165 [4 per cell]
Pt 0.000 0.500 0.500 [2 per cell]

=====

Quick one: most stable of them? a